## NaAlSn (GGA-PBE)

Data for an optimized crystal structure of NaAlSn.

## Properties
**Crystal system**: monoclinic
**Uncorrected energy**: -3.001 eV/atom
**Spin magnetization**: 0.00 μB per cell
**Mass density**: 3.54 g/cm³

Geometry as POSCAR:
```
NaAlSn
1.0
5.681 0.000 0.000
0.000 4.148 0.000
-2.723 0.000 6.707
Na Al Sn
2 2 2
Direct
0.000 0.000 0.000
0.392 0.000 0.755
0.742 0.500 0.597
0.841 0.000 0.403
0.186 0.500 0.387
0.539 0.500 0.148
```